A relaxed structure of Li4Ti2Cr3Co3O16, computed with PBE+U.

POSCAR file:
```
Li4Ti2Cr3Co3O16
1.0
5.074 -2.932 0.000
5.074 2.932 0.000
-0.081 0.000 9.534
Li Ti Cr Co O
4 2 3 3 16
direct
0.000 0.000 0.000
0.003 0.003 0.497
0.343 0.343 0.901
0.668 0.668 0.399
0.342 0.342 0.504
0.663 0.663 0.003
0.176 0.176 0.218
0.351 0.842 0.720
0.842 0.351 0.720
0.164 0.655 0.224
0.655 0.164 0.224
0.830 0.830 0.723
0.011 0.011 0.810
0.040 0.485 0.348
0.174 0.174 0.599
0.177 0.671 0.601
0.341 0.840 0.099
0.344 0.344 0.109
0.482 0.482 0.346
0.485 0.040 0.348
0.517 0.974 0.844
0.528 0.528 0.844
0.663 0.663 0.607
0.671 0.177 0.601
0.835 0.835 0.101
0.840 0.341 0.099
0.974 0.517 0.844
0.999 0.999 0.306
```

Properties
Total DFT energy (no corrections)   -6.869 eV per atom
Spin magnetization   0.109 μB per atom
Space-group type   No. 8